Here is an optimized crystal structure of Ac3Al4Hg2 from Alexandria. Energies are from PBE.

Cell: 6.5654 6.5654 9.2406 Å, 99.80 99.80 41.08°
Last column: nearest neighbours and their distance in Å.
Fractional positions:
Ac: 0.0000 0.0000 0.0000  8 Al 3.49-3.58, 4 Hg 3.52
Ac: 0.3335 0.3335 0.3327  8 Al 3.50-3.60, 4 Hg 3.54-3.56
Ac: 0.6665 0.6665 0.6673  8 Al 3.50-3.60, 4 Hg 3.54-3.56
Al: 0.0509 0.0509 0.3889  1 Al 2.59, 2 Hg 2.68
Al: 0.2733 0.2733 0.9449  2 Al 2.62, 1 Hg 2.70
Al: 0.7267 0.7267 0.0551  2 Al 2.62, 1 Hg 2.70
Al: 0.9491 0.9491 0.6111  1 Al 2.59, 2 Hg 2.68
Hg: 0.3898 0.3898 0.7240  3 Al 2.68-2.70
Hg: 0.6102 0.6102 0.2760  3 Al 2.68-2.70

Values from the calculation:
- density of states at the Fermi level (states/eV/cell) = 10.69
- M_tot (μB/cell) = 0.000
- energy of formation from the pure elements (meV/atom) = -394
- total DFT energy (no corrections) (eV/atom) = -3.49

---

Here is an optimized crystal structure of Li2RuPtBr from Alexandria. Energies are from PBE.

Cell: 4.3385 4.3385 4.8364 Å, 90.00 90.00 90.00°
Last column: nearest neighbours and their distance in Å.
Fractional positions:
Li: 0.0000 0.5000 0.0000  2 Br 2.17
Li: 0.5000 0.0000 0.0000  2 Br 2.17
Ru: 0.0000 0.0000 0.5000  2 Br 2.42
Pt: 0.5000 0.5000 0.5000  4 Ru 3.07, 8 Li 3.25
Br: 0.0000 0.0000 0.0000  4 Li 2.17, 2 Ru 2.42

Values from the calculation:
- formation energy from raw total energies (eV per atom) = 0.373
- density of states at the Fermi level (states/eV/cell) = 4.44
- M_tot (μB/cell) = 1.542
- total DFT energy (no corrections) (eV/atom) = -3.79

---

Here is an optimized crystal structure of LaPmTl from Alexandria. Energies are from PBE.

Cell: 7.2518 7.2518 7.2518 Å, 149.43 149.43 43.77°
Last column: nearest neighbours and their distance in Å.
Fractional positions:
La: 0.0000 0.0000 0.0000  4 Tl 3.47, 4 Pm 3.73, 4 La 3.82
Pm: 0.3092 0.3092 0.0000  4 Tl 3.35, 4 La 3.73
Tl: 0.6620 0.6620 0.0000  4 Pm 3.35, 4 La 3.47

Values from the calculation:
- density of states at the Fermi level (states/eV/cell) = 4.43
- M_tot (μB/cell) = 0.001
- energy of formation from the pure elements (meV/atom) = -224
- total DFT energy (no corrections) (eV/atom) = -4.24

---

Here is an optimized crystal structure of LaMgPt2 from Alexandria. Energies are from PBE.

Cell: 4.3247 5.5975 5.5975 Å, 40.54 90.00 90.00°
Last column: nearest neighbours and their distance in Å.
Fractional positions:
La: 0.0000 0.0000 0.0000  7 Pt 2.80-3.13
Mg: 0.5000 0.7136 0.7136  7 Pt 2.93-3.03
Pt: 0.0000 0.2666 0.2666  2 Pt 2.79, 3 La 2.80-3.13, 4 Mg 2.96
Pt: 0.5000 0.4350 0.4350  2 Pt 2.79, 3 Mg 2.93-3.03, 4 La 2.98

Values from the calculation:
- density of states at the Fermi level (states/eV/cell) = 1.46
- M_tot (μB/cell) = 0.000
- energy of formation from the pure elements (meV/atom) = -963
- total DFT energy (no corrections) (eV/atom) = -5.61

---

Here is an optimized crystal structure of Ba2Ge2Au from Alexandria. Energies are from PBE.

Cell: 6.0524 6.0524 6.0524 Å, 114.65 114.65 99.55°
Last column: nearest neighbours and their distance in Å.
Fractional positions:
Ba: 0.2500 0.7500 0.5000  4 Ge 3.34
Ba: 0.7500 0.2500 0.5000  4 Ge 3.34
Ge: 0.1591 0.1591 0.0000  1 Ge 2.49, 1 Au 2.66
Ge: 0.8409 0.8409 0.0000  1 Ge 2.49, 1 Au 2.66
Au: 0.5000 0.5000 0.0000  2 Ge 2.66

Values from the calculation:
- density of states at the Fermi level (states/eV/cell) = 4.46
- M_tot (μB/cell) = 0.000
- energy of formation from the pure elements (meV/atom) = -300
- total DFT energy (no corrections) (eV/atom) = -3.57

---

Here is an optimized crystal structure of CaPtSe from Alexandria. Energies are from PBE.

Cell: 10.5629 3.9506 3.9506 Å, 59.86 90.00 90.00°
Last column: nearest neighbours and their distance in Å.
Fractional positions:
Ca: 0.1743 0.0000 0.0000  3 Pt 2.91-2.96, 3 Se 2.97-2.99
Ca: 0.8257 0.0000 0.0000  3 Pt 2.91-2.96, 3 Se 2.97-2.99
Pt: 0.0000 0.6614 0.6614  6 Ca 2.91-2.96
Pt: 0.5000 0.9454 0.9454  2 Se 2.45
Se: 0.3555 0.6648 0.6648  1 Pt 2.45
Se: 0.6445 0.6648 0.6648  1 Pt 2.45

Values from the calculation:
- formation energy from raw total energies (eV per atom) = -0.601
- density of states at the Fermi level (states/eV/cell) = 2.34
- M_tot (μB/cell) = 0.000
- total DFT energy (no corrections) (eV/atom) = -4.44

---

Here is an optimized crystal structure of Pm6ThMg from Alexandria. Energies are from PBE.

Cell: 5.0933 5.0933 10.0821 Å, 90.00 90.00 90.00°
Last column: nearest neighbours and their distance in Å.
Fractional positions:
Pm: 0.0000 0.0000 0.0000  8 Pm 3.58, 4 Th 3.60
Pm: 0.0000 0.0000 0.5000  8 Pm 3.59, 4 Mg 3.60
Pm: 0.0000 0.5000 0.2495  2 Th 3.58, 8 Pm 3.58-3.60, 2 Mg 3.59
Pm: 0.0000 0.5000 0.7505  2 Th 3.58, 8 Pm 3.58-3.60, 2 Mg 3.59
Pm: 0.5000 0.0000 0.2495  2 Th 3.58, 8 Pm 3.58-3.60, 2 Mg 3.59
Pm: 0.5000 0.0000 0.7505  2 Th 3.58, 8 Pm 3.58-3.60, 2 Mg 3.59
Th: 0.5000 0.5000 0.0000  12 Pm 3.58-3.60
Mg: 0.5000 0.5000 0.5000  12 Pm 3.59-3.60

Values from the calculation:
- density of states at the Fermi level (states/eV/cell) = 11.88
- M_tot (μB/cell) = 0.000
- energy of formation from the pure elements (meV/atom) = 30
- total DFT energy (no corrections) (eV/atom) = -4.66

---

Here is an optimized crystal structure of YSe2NO from Alexandria. Energies are from PBE.

Cell: 4.3460 4.3460 4.2504 Å, 90.00 90.00 90.00°
Last column: nearest neighbours and their distance in Å.
Fractional positions:
Y: 0.0000 0.0000 0.0000  8 Se 3.04, 4 N 3.07
Se: 0.0000 0.5000 0.5000  2 O 2.17
Se: 0.5000 0.0000 0.5000  2 O 2.17
N: 0.5000 0.5000 0.0000  2 O 2.13
O: 0.5000 0.5000 0.5000  2 N 2.13, 4 Se 2.17

Values from the calculation:
- formation energy from raw total energies (eV per atom) = 0.160
- density of states at the Fermi level (states/eV/cell) = 2.13
- M_tot (μB/cell) = 0.000
- total DFT energy (no corrections) (eV/atom) = -5.18

---

Here is an optimized crystal structure of Ca4YIn5 from Alexandria. Energies are from PBE.

Cell: 3.8542 3.8542 18.9878 Å, 90.00 90.00 90.00°
Last column: nearest neighbours and their distance in Å.
Fractional positions:
Ca: 0.0000 0.0000 0.1009  8 In 3.32-3.33
Ca: 0.0000 0.0000 0.3010  8 In 3.32-3.35
Ca: 0.0000 0.0000 0.6990  8 In 3.32-3.35
Ca: 0.0000 0.0000 0.8991  8 In 3.32-3.33
Y: 0.0000 0.0000 0.5000  8 In 3.28
In: 0.5000 0.5000 0.0000  8 Ca 3.33
In: 0.5000 0.5000 0.2010  8 Ca 3.32
In: 0.5000 0.5000 0.4040  4 Y 3.28, 4 Ca 3.35, 1 In 3.64
In: 0.5000 0.5000 0.5960  4 Y 3.28, 4 Ca 3.35, 1 In 3.64
In: 0.5000 0.5000 0.7990  8 Ca 3.32

Values from the calculation:
- density of states at the Fermi level (states/eV/cell) = 6.08
- M_tot (μB/cell) = 0.000
- energy of formation from the pure elements (meV/atom) = -474
- total DFT energy (no corrections) (eV/atom) = -3.29

---

Here is an optimized crystal structure of Y2Ho3Ga4 from Alexandria. Energies are from PBE.

Cell: 7.9215 7.9578 7.3575 Å, 90.00 106.37 90.00°
Last column: nearest neighbours and their distance in Å.
Fractional positions:
Y: 0.1887 0.1853 0.0725  5 Ga 3.03-3.25
Y: 0.1887 0.3147 0.5725  5 Ga 3.03-3.25
Y: 0.8113 0.6853 0.4275  5 Ga 3.03-3.25
Y: 0.8113 0.8147 0.9275  5 Ga 3.03-3.25
Ho: 0.2382 0.6744 0.2514  6 Ga 2.89-3.07
Ho: 0.2382 0.8256 0.7514  6 Ga 2.89-3.07
Ho: 0.5000 0.0000 0.5000  6 Ga 2.99-3.19
Ho: 0.5000 0.5000 0.0000  6 Ga 2.99-3.19
Ho: 0.7618 0.1744 0.2486  6 Ga 2.89-3.07
Ho: 0.7618 0.3256 0.7486  6 Ga 2.89-3.07
Ga: 0.0816 0.5290 0.8625  1 Ga 2.73, 3 Ho 2.89-3.01, 1 Y 3.03
Ga: 0.0816 0.9710 0.3625  1 Ga 2.73, 3 Ho 2.89-3.01, 1 Y 3.03
Ga: 0.4876 0.1252 0.8795  1 Ga 2.64
Ga: 0.4876 0.3748 0.3795  1 Ga 2.64
Ga: 0.5124 0.6252 0.6205  1 Ga 2.64
Ga: 0.5124 0.8748 0.1205  1 Ga 2.64
Ga: 0.9184 0.0290 0.6375  1 Ga 2.73, 3 Ho 2.89-3.01, 1 Y 3.03
Ga: 0.9184 0.4710 0.1375  1 Ga 2.73, 3 Ho 2.89-3.01, 1 Y 3.03

Values from the calculation:
- density of states at the Fermi level (states/eV/cell) = 13.62
- M_tot (μB/cell) = 0.000
- energy of formation from the pure elements (meV/atom) = -591
- total DFT energy (no corrections) (eV/atom) = -4.90

---

Here is an optimized crystal structure of Y2Ga3Ru from Alexandria. Energies are from PBE.

Cell: 6.2558 6.2558 6.2558 Å, 137.44 128.66 68.82°
Last column: nearest neighbours and their distance in Å.
Fractional positions:
Y: 0.1987 0.1987 0.0000  6 Ga 2.83-3.06, 1 Ru 3.11
Y: 0.8013 0.8013 0.0000  6 Ga 2.83-3.06, 1 Ru 3.11
Ga: 0.0000 0.5000 0.5000  2 Ru 2.71
Ga: 0.3788 0.8788 0.5000  1 Ga 2.50, 2 Ru 2.59
Ga: 0.6212 0.1212 0.5000  1 Ga 2.50, 2 Ru 2.59
Ru: 0.5000 0.5000 0.0000  6 Ga 2.59-2.71

Values from the calculation:
- density of states at the Fermi level (states/eV/cell) = 4.97
- M_tot (μB/cell) = 0.002
- energy of formation from the pure elements (meV/atom) = -293
- total DFT energy (no corrections) (eV/atom) = -5.51

---

Here is an optimized crystal structure of Ba2Cu3P4 from Alexandria. Energies are from PBE.

Cell: 8.3965 8.3965 8.3965 Å, 111.93 84.32 136.50°
Last column: nearest neighbours and their distance in Å.
Fractional positions:
Ba: 0.1090 0.2028 0.3118  9 P 3.22-3.48, 6 Cu 3.26-3.48
Ba: 0.3910 0.7028 0.0937  9 P 3.22-3.48, 6 Cu 3.26-3.48
Ba: 0.6090 0.2972 0.9063  9 P 3.22-3.48, 6 Cu 3.26-3.48
Ba: 0.8910 0.7972 0.6882  9 P 3.22-3.48, 6 Cu 3.26-3.48
Cu: 0.0305 0.7500 0.2805  4 P 2.34-2.49
Cu: 0.2500 0.7500 0.5000  4 P 2.50, 2 Cu 2.73
Cu: 0.4695 0.7500 0.7195  4 P 2.34-2.49
Cu: 0.5305 0.2500 0.2805  4 P 2.34-2.49
Cu: 0.7500 0.2500 0.5000  4 P 2.50, 2 Cu 2.73
Cu: 0.9695 0.2500 0.7195  4 P 2.34-2.49
P: 0.1212 0.6328 0.7540  1 P 2.26, 4 Cu 2.34-2.50
P: 0.1612 0.8674 0.0286  1 P 2.26, 2 Cu 2.49
P: 0.3388 0.3674 0.7061  1 P 2.26, 2 Cu 2.49
P: 0.3788 0.1328 0.5117  1 P 2.26, 4 Cu 2.34-2.50
P: 0.6212 0.8672 0.4883  1 P 2.26, 4 Cu 2.34-2.50
P: 0.6612 0.6326 0.2939  1 P 2.26, 2 Cu 2.49
P: 0.8388 0.1326 0.9714  1 P 2.26, 2 Cu 2.49
P: 0.8788 0.3672 0.2460  1 P 2.26, 4 Cu 2.34-2.50

Values from the calculation:
- density of states at the Fermi level (states/eV/cell) = 6.05
- M_tot (μB/cell) = 0.000
- energy of formation from the pure elements (meV/atom) = -593
- total DFT energy (no corrections) (eV/atom) = -4.79

---

Calculated V (A^3/atom), listed in the same order as above: 28.600 18.207 32.783 22.020 33.387 23.761 32.693 16.056 28.207 24.722 21.170 20.221